{"formula": "Ca3Ga5Pd6", "functional": "GGA-PBE", "state": "relaxed", "magnetic_moment_mub_per_fu": 0.0, "e_form_ev_per_atom": -0.728, "volume_a3_per_atom": 18.51, "spacegroup": "Pmmn (59)", "crystal_system": "orthorhombic", "lattice_angstrom": [[4.322, 0.000, 0.000], [0.000, 9.117, 0.000], [0.000, 0.000, 13.158]], "species": ["Ca", "Ca", "Ca", "Ca", "Ca", "Ca", "Ga", "Ga", "Ga", "Ga", "Ga", "Ga", "Ga", "Ga", "Ga", "Ga", "Pd", "Pd", "Pd", "Pd", "Pd", "Pd", "Pd", "Pd", "Pd", "Pd", "Pd", "Pd"], "fractional_positions": [[0.000, 0.248, 0.696], [0.500, 0.752, 0.196], [0.500, 0.752, 0.804], [0.000, 0.243, 0.000], [0.500, 0.757, 0.500], [0.000, 0.248, 0.304], [0.000, 0.534, 0.881], [0.000, 0.875, 0.657], [0.000, 0.792, 0.000], [0.500, 0.466, 0.619], [0.500, 0.208, 0.500], [0.000, 0.534, 0.119], [0.500, 0.466, 0.381], [0.000, 0.875, 0.343], [0.500, 0.125, 0.843], [0.500, 0.125, 0.157], [0.000, 0.977, 0.843], [0.500, 0.023, 0.657], [0.500, 0.406, 0.816], [0.500, 0.586, 0.000], [0.000, 0.414, 0.500], [0.000, 0.594, 0.684], [0.000, 0.594, 0.316], [0.500, 0.952, 0.000], [0.000, 0.977, 0.157], [0.500, 0.406, 0.184], [0.000, 0.048, 0.500], [0.500, 0.023, 0.343]]}

=====

{"formula": "Ca6Ga2Pd", "functional": "GGA-PBE", "state": "relaxed", "magnetic_moment_mub_per_fu": 0.0, "e_form_ev_per_atom": -0.331, "volume_a3_per_atom": 30.13, "spacegroup": "Immm (71)", "crystal_system": "orthorhombic", "lattice_angstrom": [[-8.217, 1.070, -5.850], [-8.374, -1.390, 2.714], [-5.013, 7.357, -0.407]], "species": ["Ca", "Ca", "Ca", "Ca", "Ca", "Ca", "Ca", "Ca", "Ca", "Ca", "Ca", "Ca", "Ga", "Ga", "Ga", "Ga", "Pd", "Pd"], "fractional_positions": [[0.270, 0.173, 0.827], [0.730, 0.827, 0.173], [0.730, 0.173, 0.827], [0.270, 0.827, 0.173], [0.736, 0.448, 0.080], [0.264, 0.552, 0.920], [0.736, 0.080, 0.448], [0.264, 0.920, 0.552], [0.979, 0.341, 0.341], [0.021, 0.659, 0.659], [0.340, 0.341, 0.341], [0.660, 0.659, 0.659], [0.382, 0.118, 0.118], [0.618, 0.882, 0.882], [0.000, 0.289, 0.711], [0.000, 0.711, 0.289], [0.500, 0.500, 0.500], [0.000, 0.000, 0.000]]}

=====

{"formula": "CaGa4Pd6", "functional": "GGA-PBE", "state": "relaxed", "magnetic_moment_mub_per_fu": 0.0, "e_form_ev_per_atom": -0.473, "volume_a3_per_atom": 18.17, "spacegroup": "I-42m (121)", "crystal_system": "tetragonal", "relative_energy_ev_per_atom": 0.263, "lattice_angstrom": [[-4.959, -3.882, 2.253], [6.305, -2.122, -0.683], [2.744, 4.917, 3.608]], "species": ["Ca", "Ga", "Ga", "Ga", "Ga", "Pd", "Pd", "Pd", "Pd", "Pd", "Pd"], "fractional_positions": [[0.000, 0.000, 0.000], [0.000, 0.230, 0.574], [0.657, 0.426, 0.426], [0.000, 0.574, 0.230], [0.343, 0.770, 0.770], [0.000, 0.885, 0.476], [0.000, 0.476, 0.885], [0.591, 0.115, 0.115], [0.500, 0.000, 0.500], [0.409, 0.524, 0.524], [0.500, 0.500, 0.000]]}

=====

{"formula": "Ca2Ga6Pd", "functional": "GGA-PBE", "state": "relaxed", "magnetic_moment_mub_per_fu": 0.0, "e_form_ev_per_atom": -0.497, "volume_a3_per_atom": 19.69, "spacegroup": "P-3m1 (164)", "crystal_system": "trigonal", "relative_energy_ev_per_atom": 0.000, "lattice_angstrom": [[-0.819, -0.851, 5.741], [-0.730, -5.785, -0.962], [4.662, -3.629, 0.126]], "species": ["Ca", "Ca", "Ga", "Ga", "Ga", "Ga", "Ga", "Ga", "Pd"], "fractional_positions": [[0.856, 0.666, 0.666], [0.144, 0.334, 0.334], [0.329, 0.349, 0.826], [0.329, 0.825, 0.825], [0.329, 0.826, 0.349], [0.671, 0.651, 0.174], [0.671, 0.175, 0.175], [0.671, 0.174, 0.651], [0.000, 0.000, 0.000]]}

=====

{"formula": "Ca3Ga2Pd", "functional": "GGA-PBE", "state": "relaxed", "magnetic_moment_mub_per_fu": 0.0, "e_form_ev_per_atom": -0.539, "volume_a3_per_atom": 26.27, "spacegroup": "Pnma (62)", "crystal_system": "orthorhombic", "lattice_angstrom": [[-4.204, -1.353, 0.531], [2.872, -4.887, 10.284], [-2.617, 10.343, 5.646]], "species": ["Ca", "Ca", "Ca", "Ca", "Ca", "Ca", "Ca", "Ca", "Ca", "Ca", "Ca", "Ca", "Ga", "Ga", "Ga", "Ga", "Ga", "Ga", "Ga", "Ga", "Pd", "Pd", "Pd", "Pd"], "fractional_positions": [[0.250, 0.381, 0.053], [0.750, 0.619, 0.947], [0.750, 0.881, 0.447], [0.250, 0.119, 0.553], [0.250, 0.696, 0.212], [0.750, 0.304, 0.788], [0.750, 0.196, 0.288], [0.250, 0.804, 0.712], [0.250, 0.440, 0.386], [0.750, 0.560, 0.614], [0.750, 0.940, 0.114], [0.250, 0.060, 0.886], [0.250, 0.696, 0.470], [0.750, 0.304, 0.530], [0.750, 0.196, 0.030], [0.250, 0.804, 0.970], [0.250, 0.997, 0.297], [0.750, 0.003, 0.703], [0.750, 0.497, 0.203], [0.250, 0.503, 0.797], [0.250, 0.130, 0.122], [0.750, 0.870, 0.878], [0.750, 0.630, 0.378], [0.250, 0.370, 0.622]]}

=====

{"formula": "Ca2Ga3Pd", "functional": "GGA-PBE", "state": "relaxed", "magnetic_moment_mub_per_fu": 0.0, "e_form_ev_per_atom": -0.646, "volume_a3_per_atom": 21.20, "spacegroup": "Cm (8)", "crystal_system": "monoclinic", "lattice_angstrom": [[-4.105, 0.488, 1.563], [-2.508, -5.016, 1.228], [-0.136, 0.030, 5.882]], "species": ["Ca", "Ca", "Ga", "Ga", "Ga", "Pd"], "fractional_positions": [[0.551, 0.200, 0.698], [0.448, 0.804, 0.301], [0.846, 0.601, 0.707], [0.829, 0.236, 0.105], [0.165, 0.766, 0.903], [0.161, 0.394, 0.285]]}

=====

{"formula": "Ca2Ga5Pd4", "functional": "GGA-PBE", "state": "relaxed", "magnetic_moment_mub_per_fu": 0.0, "e_form_ev_per_atom": -0.654, "volume_a3_per_atom": 19.06, "spacegroup": "Fmmm (69)", "crystal_system": "orthorhombic", "lattice_angstrom": [[5.161, 0.000, 1.843], [2.581, 4.647, 0.921], [-0.188, 0.000, 8.676]], "species": ["Ca", "Ca", "Ga", "Ga", "Ga", "Ga", "Ga", "Pd", "Pd", "Pd", "Pd"], "fractional_positions": [[0.864, 0.000, 0.272], [0.136, 0.000, 0.728], [0.500, 0.000, 0.000], [0.000, 0.500, 0.000], [0.500, 0.500, 0.000], [0.250, 0.500, 0.500], [0.750, 0.500, 0.500], [0.790, 0.675, 0.744], [0.210, 0.325, 0.256], [0.534, 0.675, 0.256], [0.466, 0.325, 0.744]]}

=====

{"formula": "Ca3GaPd2", "functional": "GGA-PBE", "state": "relaxed", "magnetic_moment_mub_per_fu": 0.0, "e_form_ev_per_atom": -0.625, "volume_a3_per_atom": 25.44, "spacegroup": "Pnma (62)", "crystal_system": "orthorhombic", "lattice_angstrom": [[4.203, 0.000, 0.000], [0.000, 12.200, 0.000], [0.000, 0.000, 11.908]], "species": ["Ca", "Ca", "Ca", "Ca", "Ca", "Ca", "Ca", "Ca", "Ca", "Ca", "Ca", "Ca", "Ga", "Ga", "Ga", "Ga", "Pd", "Pd", "Pd", "Pd", "Pd", "Pd", "Pd", "Pd"], "fractional_positions": [[0.250, 0.382, 0.058], [0.750, 0.618, 0.942], [0.750, 0.882, 0.442], [0.250, 0.118, 0.558], [0.250, 0.692, 0.194], [0.750, 0.308, 0.806], [0.750, 0.192, 0.306], [0.250, 0.808, 0.694], [0.250, 0.440, 0.374], [0.750, 0.560, 0.626], [0.750, 0.940, 0.126], [0.250, 0.060, 0.874], [0.250, 0.134, 0.129], [0.750, 0.866, 0.871], [0.750, 0.634, 0.371], [0.250, 0.366, 0.629], [0.250, 0.686, 0.472], [0.750, 0.314, 0.528], [0.750, 0.186, 0.028], [0.250, 0.814, 0.972], [0.250, 0.013, 0.305], [0.750, 0.987, 0.695], [0.750, 0.513, 0.195], [0.250, 0.487, 0.805]]}

=====

{"formula": "Ca5GaPd2", "functional": "GGA-PBE", "state": "relaxed", "magnetic_moment_mub_per_fu": 0.0, "e_form_ev_per_atom": -0.545, "volume_a3_per_atom": 27.39, "spacegroup": "I4/mcm (140)", "crystal_system": "tetragonal", "lattice_angstrom": [[7.073, 0.000, -3.339], [-1.576, 6.895, -3.339], [-0.052, -0.066, 9.050]], "species": ["Ca", "Ca", "Ca", "Ca", "Ca", "Ca", "Ca", "Ca", "Ca", "Ca", "Ga", "Ga", "Pd", "Pd", "Pd", "Pd"], "fractional_positions": [[0.529, 0.690, 0.719], [0.810, 0.971, 0.281], [0.000, 0.000, 0.000], [0.500, 0.500, 0.000], [0.190, 0.029, 0.719], [0.690, 0.190, 0.719], [0.029, 0.529, 0.719], [0.310, 0.810, 0.281], [0.971, 0.471, 0.281], [0.471, 0.310, 0.281], [0.750, 0.750, 0.500], [0.250, 0.250, 0.500], [0.126, 0.374, 0.000], [0.626, 0.126, 0.000], [0.374, 0.874, 0.000], [0.874, 0.626, 0.000]]}

=====

{"formula": "Ca2GaPd2", "functional": "GGA-PBE", "state": "relaxed", "magnetic_moment_mub_per_fu": 0.0, "e_form_ev_per_atom": -0.364, "volume_a3_per_atom": 23.78, "spacegroup": "I4/mmm (139)", "crystal_system": "tetragonal", "lattice_angstrom": [[-1.249, 2.490, -2.596], [-3.473, -0.117, 1.559], [-0.340, 7.382, 4.451]], "species": ["Ca", "Ca", "Ga", "Pd", "Pd"], "fractional_positions": [[0.387, 0.387, 0.225], [0.613, 0.613, 0.775], [0.000, 0.000, 0.000], [0.750, 0.250, 0.500], [0.250, 0.750, 0.500]]}